[1]
# AcZn2Si2

A geometry-optimized AcZn2Si2 structure (PBE, the Alexandria database).

As for the energy relative to the lowest polymorph listed for this composition: 0 meV per atom. The energy relative to the elements, uncorrected comes out at -0.37 eV per atom.

The space group is I4/mmm (No. 139) and the conventional cell measures 4.310, 4.310 and 10.759 Å, with angles of 90.00, 90.00 and 90.00 degrees. The asymmetric unit holds Ac at (0.000, 0.000, 0.000), Zn at (0.000, 0.500, 0.250) and Si at (0.000, 0.000, 0.384).



[2]
# Ho12Fe6Sn

A geometry-optimized Ho12Fe6Sn structure (PBE, the Alexandria database).

The value obtained for the formation energy is -0.130 eV per atom.

The space group is Im-3 (No. 204) and the conventional cell measures 9.654, 9.654 and 9.654 Å, with angles of 90.00, 90.00 and 90.00 degrees. The asymmetric unit holds Ho at (0.000, 0.299, 0.195), Fe at (0.000, 0.110, 0.500) and Sn at (0.000, 0.000, 0.000).



[3]
# YNi6

A geometry-optimized YNi6 structure (PBE, the Alexandria database).

The value obtained for the formation energy is -0.197 eV per atom. As for the energy relative to the lowest polymorph listed for this composition: 0 meV per atom.

The space group is Pnma (No. 62) and the conventional cell measures 7.782, 4.842 and 9.785 Å, with angles of 90.00, 90.00 and 90.00 degrees. The asymmetric unit holds Y at (0.241, 0.250, 0.061), Ni at (0.062, 0.750, 0.093), Ni at (0.068, 0.006, 0.308), Ni at (0.102, 0.250, 0.519), Ni at (0.148, 0.750, 0.853) and Ni at (0.181, 0.250, 0.757).



[4]
# Zr5Zn4Pt

A geometry-optimized Zr5Zn4Pt structure (PBE, the Alexandria database).

The value obtained for the formation energy is -0.405 eV per atom.

The space group is P4/mmm (No. 123) and the conventional cell measures 3.362, 3.362 and 16.560 Å, with angles of 90.00, 90.00 and 90.00 degrees. The asymmetric unit holds Zr at (0.000, 0.000, 0.000), Zr at (0.000, 0.000, 0.200), Zr at (0.000, 0.000, 0.401), Zn at (0.500, 0.500, 0.100), Zn at (0.500, 0.500, 0.299) and Pt at (0.500, 0.500, 0.500).



[5]
# KErPdO3

A geometry-optimized KErPdO3 structure (PBE, the Alexandria database).

The energy relative to the elements, uncorrected comes out at -1.84 eV per atom.

The space group is Cmcm (No. 63) and the conventional cell measures 3.806, 14.057 and 8.356 Å, with angles of 90.00, 90.00 and 90.00 degrees. The asymmetric unit holds K at (0.000, 0.217, 0.250), Er at (0.000, 0.500, 0.000), Pd at (0.000, 0.097, 0.750), O at (0.000, 0.099, 0.001) and O at (0.000, 0.444, 0.250).



[6]
# TbPm2Si6

A geometry-optimized TbPm2Si6 structure (PBE, the Alexandria database).

The energy relative to the elements, uncorrected comes out at -0.56 eV per atom.

The space group is P6/mmm (No. 191) and the conventional cell measures 7.1358, 7.1358 and 4.0661 Å, with angles of 90.00, 90.00 and 120.00 degrees. The asymmetric unit holds Tb at (0.0000, 0.0000, 0.0000), Pm at (0.3333, 0.6667, 0.0000) and Si at (0.0000, 0.3317, 0.5000).



[7]
# AcSm2Sn

A geometry-optimized AcSm2Sn structure (PBE, the Alexandria database).

The value obtained for the formation energy is -0.206 eV per atom. As for the energy relative to the lowest polymorph listed for this composition: 170 meV per atom.

The space group is Fm-3m (No. 225) and the conventional cell measures 7.961, 7.961 and 7.961 Å, with angles of 90.00, 90.00 and 90.00 degrees. The asymmetric unit holds Ac at (0.000, 0.000, 0.000), Sm at (0.250, 0.250, 0.250) and Sn at (0.000, 0.000, 0.500).



[8]
# CsK3Br4

A geometry-optimized CsK3Br4 structure (PBE, the Alexandria database).

The energy relative to the elements, uncorrected comes out at -1.74 eV per atom.

The space group is Cmmm (No. 65) and the conventional cell measures 9.733, 13.754 and 4.858 Å, with angles of 90.00, 90.00 and 90.00 degrees. The asymmetric unit holds Cs at (0.000, 0.000, 0.000), K at (0.000, 0.500, 0.000), K at (0.250, 0.250, 0.500), Br at (0.000, 0.258, 0.000) and Br at (0.232, 0.500, 0.500).



[9]
# Y2PdF

A geometry-optimized Y2PdF structure (PBE, the Alexandria database).

As for the energy relative to the lowest polymorph listed for this composition: 398 meV per atom. The energy relative to the elements, uncorrected comes out at -1.00 eV per atom.

The space group is R-3m (No. 166, hexagonal axes) and the conventional cell measures 3.2647, 3.2647 and 27.1137 Å, with angles of 90.00, 90.00 and 120.00 degrees. The asymmetric unit holds Y at (0.0000, 0.0000, 0.0967), Pd at (0.0000, 0.0000, 0.0000) and F at (0.0000, 0.0000, 0.5000).



[10]
# K3SmF6

A geometry-optimized K3SmF6 structure (PBE, the Alexandria database).

The energy relative to the elements, uncorrected comes out at -3.24 eV per atom.

The space group is Fm-3m (No. 225) and the conventional cell measures 9.516, 9.516 and 9.516 Å, with angles of 90.00, 90.00 and 90.00 degrees. The asymmetric unit holds K at (0.000, 0.000, 0.000), K at (0.250, 0.250, 0.250), Sm at (0.000, 0.000, 0.500) and F at (0.000, 0.000, 0.265).



[11]
# NpScSn2

A geometry-optimized NpScSn2 structure (PBE, the Alexandria database).

The value obtained for the formation energy is -0.176 eV per atom. As for the energy relative to the lowest polymorph listed for this composition: 52 meV per atom.

The space group is Fm-3m (No. 225) and the conventional cell measures 7.337, 7.337 and 7.337 Å, with angles of 90.00, 90.00 and 90.00 degrees. The asymmetric unit holds Np at (0.000, 0.000, 0.000), Sc at (0.000, 0.000, 0.500) and Sn at (0.250, 0.250, 0.250).